# 1
ZnCo2Pt: relaxed, PBE-GGA.

a = 2.7285 Å, b = 2.7285 Å, c = 6.9145 Å
α = 90.00°, β = 90.00°, γ = 90.00°
Last column: magnetic moment on the atom in μB.
Fractional coordinates of all 4 atoms:
Co: 0.5000 0.5000 0.2249  1.84
Co: 0.0000 0.0000 0.0148  1.45
Zn: 0.5000 0.5000 0.7674  -0.03
Pt: 0.0000 0.0000 0.4930  0.13

formation enthalpy at 0 K: -0.14 eV/atom



# 2
La6In5Bi: relaxed, PBE-GGA.

a = 5.2411 Å, b = 9.4291 Å, c = 9.4291 Å
α = 112.90°, β = 106.15°, γ = 106.15°
Fractional coordinates of all 12 atoms:
In: 0.5000 0.1755 0.8245
In: 0.5000 0.5000 0.5000
In: 0.0000 0.6670 0.3330
In: 0.0000 0.3330 0.6670
In: 0.5000 0.8245 0.1755
La: 0.2494 0.7493 0.7493
La: 0.7507 0.5852 0.9163
La: 0.7507 0.9163 0.5852
La: 0.2493 0.4148 0.0837
La: 0.2493 0.0837 0.4148
La: 0.7506 0.2507 0.2507
Bi: 0.0000 0.0000 0.0000

formation enthalpy at 0 K: -0.56 eV/atom



# 3
NaNb2SbO8: relaxed, PBE-GGA.

a = 4.8329 Å, b = 4.8306 Å, c = 6.4679 Å
α = 89.02°, β = 89.02°, γ = 86.71°
Fractional coordinates of all 12 atoms:
Nb: 0.5306 0.5307 0.2582
Nb: 0.4694 0.4693 0.7418
Na: 0.0000 0.0000 0.5000
O: 0.7050 0.7058 0.0087
O: 0.2119 0.7949 0.7797
O: 0.2044 0.7874 0.2203
O: 0.6778 0.6787 0.4956
O: 0.7881 0.2051 0.2203
O: 0.7956 0.2126 0.7797
O: 0.2950 0.2942 0.9913
O: 0.3222 0.3213 0.5044
Sb: 0.0000 0.0000 0.0000



# 4
MgNi2Sn2: relaxed, PBE-GGA.

a = 7.6720 Å, b = 7.6720 Å, c = 3.0439 Å
α = 90.00°, β = 90.00°, γ = 90.00°
Fractional coordinates of all 10 atoms:
Ni: 0.1439 0.6439 0.5000
Ni: 0.6439 0.8561 0.5000
Ni: 0.8561 0.3561 0.5000
Ni: 0.3561 0.1439 0.5000
Mg: 0.0000 0.0000 0.0000
Mg: 0.5000 0.5000 0.0000
Sn: 0.1494 0.3506 0.0000
Sn: 0.8506 0.6494 0.0000
Sn: 0.3506 0.8506 0.0000
Sn: 0.6494 0.1494 0.0000

formation enthalpy at 0 K: -0.01 eV/atom



# 5
CeReSi2: relaxed, PBE-GGA.

a = 3.1030 Å, b = 3.1030 Å, c = 8.7579 Å
α = 79.80°, β = 79.80°, γ = 60.00°
Fractional coordinates of all 4 atoms:
Si: 0.2653 0.2653 0.2040
Si: 0.7347 0.7347 0.7960
Re: 0.0000 0.0000 0.0000
Ce: 0.5000 0.5000 0.5000



# 6
MnWAu2: relaxed, PBE-GGA.

a = 4.9452 Å, b = 4.9452 Å, c = 4.9452 Å
α = 132.31°, β = 132.32°, γ = 69.73°
Last column: magnetic moment on the atom in μB.
Fractional coordinates of all 4 atoms:
Au: 0.5000 0.5000 0.0000  -0.04
Au: 0.0000 0.0000 0.0000  -0.04
Mn: 0.7500 0.2500 0.5000  3.15
W: 0.2500 0.7500 0.5000  -0.95

formation enthalpy at 0 K: 0.38 eV/atom



# 7
Rh2AuCl: relaxed, PBE-GGA.

a = 4.5404 Å, b = 4.5404 Å, c = 4.5404 Å
α = 60.00°, β = 60.00°, γ = 60.00°
Last column: magnetic moment on the atom in μB.
Fractional coordinates of all 4 atoms:
Rh: 0.7500 0.7500 0.7500  1.24
Rh: 0.2500 0.2500 0.2500  1.24
Cl: 0.0000 0.0000 0.0000  0.18
Au: 0.5000 0.5000 0.5000  0.18



# 8
CaGa2Ni2: relaxed, PBE-GGA.

a = 7.3734 Å, b = 7.3734 Å, c = 2.8091 Å
α = 90.00°, β = 90.00°, γ = 90.00°
Fractional coordinates of all 10 atoms:
Ca: 0.5000 0.5000 0.0000
Ca: 0.0000 0.0000 0.0000
Ni: 0.1373 0.3627 0.0000
Ni: 0.8627 0.6373 0.0000
Ni: 0.6373 0.1373 0.0000
Ni: 0.3627 0.8627 0.0000
Ga: 0.8480 0.3480 0.5000
Ga: 0.1520 0.6520 0.5000
Ga: 0.6520 0.8480 0.5000
Ga: 0.3480 0.1520 0.5000

formation enthalpy at 0 K: -0.31 eV/atom



Which uncorrected energy belongs to each record? In order, -22.1 -53.9 -90.5 -42.4 -29.4 -27.2 -17.2 -42.3 eV for the cell shown.
Which Fermi-level density of states belongs to each record? In order, 0.65 0.79 0.00 0.48 1.25 0.91 1.53 0.67 states/eV/atom.